Entry 1:
The following is a DFT calculation (PBE) of a relaxed U2FeRh9 crystal.

**N(E_F)**: 11.6 states/eV/f.u.
**Spin magnetization**: 3.8 μB per formula unit
**Crystal system**: tetragonal
**DFT formation energy**: -0.445 eV/atom
**Density**: 13.0 Mg/m³

Structure (CIF):
```
data_U2FeRh9
_chemical_formula_sum 'U2 Fe1 Rh9'
_cell_length_a 3.976
_cell_length_b 3.976
_cell_length_c 11.742
_cell_angle_alpha 90.00
_cell_angle_beta 90.00
_cell_angle_gamma 90.00
_space_group_name_H-M_alt 'P 4/m m m'
_space_group_IT_number 123
_space_group_name_Hall '-P 4 2'
loop_
_atom_site_label
_atom_site_fract_x
_atom_site_fract_y
_atom_site_fract_z
U1 0.000 0.000 0.174
Fe1 0.000 0.000 0.500
Rh1 0.000 0.500 0.000
Rh2 0.000 0.500 0.342
Rh3 0.500 0.500 0.171
Rh4 0.500 0.500 0.500
```

---

Entry 2:
The following is a DFT calculation (PBE) of a relaxed UZnFeRh crystal.

**N(E_F)**: 5.7 states/eV/f.u.
**Spin magnetization**: 1.0 μB per formula unit
**Crystal system**: cubic
**DFT formation energy**: -0.157 eV/atom
**Density**: 11.9 Mg/m³

Structure (CIF):
```
data_UZnFeRh
_chemical_formula_sum 'U4 Zn4 Fe4 Rh4'
_cell_length_a 6.362
_cell_length_b 6.362
_cell_length_c 6.362
_cell_angle_alpha 90.00
_cell_angle_beta 90.00
_cell_angle_gamma 90.00
_space_group_name_H-M_alt 'F -4 3 m'
_space_group_IT_number 216
_space_group_name_Hall 'F -4 2 3'
loop_
_atom_site_label
_atom_site_fract_x
_atom_site_fract_y
_atom_site_fract_z
U1 0.000 0.000 0.000
Zn1 0.000 0.000 0.500
Fe1 0.250 0.250 0.250
Rh1 0.250 0.250 0.750
```

---

Entry 3:
The following is a DFT calculation (PBE) of a relaxed VFe3Rh crystal.

**N(E_F)**: 9.7 states/eV/f.u.
**Spin magnetization**: 13.0 μB per formula unit
**Crystal system**: cubic
**DFT formation energy**: 1.449 eV/atom
**Density**: 5.6 Mg/m³

Structure (CIF):
```
data_VFe3Rh
_chemical_formula_sum 'V1 Fe3 Rh1'
_cell_length_a 4.566
_cell_length_b 4.566
_cell_length_c 4.566
_cell_angle_alpha 90.00
_cell_angle_beta 90.00
_cell_angle_gamma 90.00
_space_group_name_H-M_alt 'P m -3 m'
_space_group_IT_number 221
_space_group_name_Hall '-P 4 2 3'
loop_
_atom_site_label
_atom_site_fract_x
_atom_site_fract_y
_atom_site_fract_z
V1 0.000 0.000 0.000
Fe1 0.000 0.500 0.500
Rh1 0.500 0.500 0.500
```

---

Entry 4:
The following is a DFT calculation (PBE) of a relaxed VFeRh3 crystal.

**N(E_F)**: 6.0 states/eV/f.u.
**Spin magnetization**: 2.0 μB per formula unit
**Crystal system**: monoclinic
**DFT formation energy**: -0.210 eV/atom
**Density**: 10.2 Mg/m³

Structure (CIF):
```
data_VFeRh3
_chemical_formula_sum 'V4 Fe4 Rh12'
_cell_length_a 4.535
_cell_length_b 13.762
_cell_length_c 4.538
_cell_angle_alpha 90.00
_cell_angle_beta 106.57
_cell_angle_gamma 90.00
_space_group_name_H-M_alt 'C 1 2/c 1'
_space_group_IT_number 15
loop_
_space_group_symop_operation_xyz
'x,y,z'
'-x,-y,-z'
'-x,y,-z+1/2'
'x,-y,z+1/2'
'x+1/2,y+1/2,z'
'-x+1/2,-y+1/2,-z'
'-x+1/2,y+1/2,-z+1/2'
'x+1/2,-y+1/2,z+1/2'
loop_
_atom_site_label
_atom_site_fract_x
_atom_site_fract_y
_atom_site_fract_z
V1 0.000 0.150 0.250
Fe1 0.000 0.352 0.250
Rh1 0.000 0.057 0.750
Rh2 0.000 0.252 0.750
Rh3 0.000 0.447 0.750
```

---

Entry 5:
The following is a DFT calculation (PBE) of a relaxed VFe2Rh8 crystal.

**N(E_F)**: 14.3 states/eV/f.u.
**Spin magnetization**: 4.9 μB per formula unit
**Crystal system**: orthorhombic
**DFT formation energy**: 0.054 eV/atom
**Density**: 10.5 Mg/m³

Structure (CIF):
```
data_VFe2Rh8
_chemical_formula_sum 'V2 Fe4 Rh16'
_cell_length_a 7.802
_cell_length_b 9.930
_cell_length_c 4.041
_cell_angle_alpha 90.00
_cell_angle_beta 90.00
_cell_angle_gamma 90.00
_space_group_name_H-M_alt 'C m m m'
_space_group_IT_number 65
_space_group_name_Hall '-C 2 2'
loop_
_atom_site_label
_atom_site_fract_x
_atom_site_fract_y
_atom_site_fract_z
V1 0.000 0.000 0.000
Fe1 0.000 0.384 0.500
Rh1 0.000 0.255 0.000
Rh2 0.169 0.133 0.500
Rh3 0.172 0.500 0.000
```

---

Entry 6:
The following is a DFT calculation (PBE) of a relaxed V4Fe12Rh crystal.

**N(E_F)**: 23.4 states/eV/f.u.
**Spin magnetization**: 16.6 μB per formula unit
**Crystal system**: cubic
**DFT formation energy**: 0.213 eV/atom
**Density**: 7.6 Mg/m³

Structure (CIF):
```
data_V4Fe12Rh
_chemical_formula_sum 'V8 Fe24 Rh2'
_cell_length_a 7.520
_cell_length_b 7.520
_cell_length_c 7.520
_cell_angle_alpha 90.00
_cell_angle_beta 90.00
_cell_angle_gamma 90.00
_space_group_name_H-M_alt 'I m -3 m'
_space_group_IT_number 229
_space_group_name_Hall '-I 4 2 3'
loop_
_atom_site_label
_atom_site_fract_x
_atom_site_fract_y
_atom_site_fract_z
V1 0.250 0.250 0.250
Fe1 0.000 0.000 0.312
Fe2 0.000 0.250 0.500
Rh1 0.000 0.000 0.000
```